VASP calculation (PBE) on crystalline MnZnH2 at its relaxed geometry.

Space group: P3_221
Calculated total energy in eV/atom: -4.21

a b c (Å): 2.591 2.591 18.878
angles (deg): 90.00 90.00 120.00
Atoms (fractional coordinates):
Mn (0.000, 0.331, 0.333)
Mn (0.331, 0.000, 0.667)
Mn (0.669, 0.669, 0.000)
Zn (0.000, 0.337, 0.833)
Zn (0.337, 0.000, 0.167)
Zn (0.663, 0.663, 0.500)
H (0.003, 0.336, 0.951)
H (0.333, 0.997, 0.285)
H (0.336, 0.003, 0.049)
H (0.664, 0.667, 0.618)
H (0.667, 0.664, 0.382)
H (0.997, 0.333, 0.715)

=====

VASP calculation (PBE) on crystalline SrLi2Sn3 at its relaxed geometry.

ΔH_f (0 K) in meV/atom: -400
Space group: Cmcm
Calculated total energy in eV/atom: -3.32

a b c (Å): 7.171 7.171 6.139
angles (deg): 90.00 90.00 79.73
Atoms (fractional coordinates):
Sr (0.165, 0.835, 0.750)
Sr (0.835, 0.165, 0.250)
Li (0.278, 0.278, 0.000)
Li (0.278, 0.278, 0.500)
Li (0.722, 0.722, 0.000)
Li (0.722, 0.722, 0.500)
Sn (0.037, 0.579, 0.250)
Sn (0.421, 0.963, 0.250)
Sn (0.455, 0.545, 0.250)
Sn (0.545, 0.455, 0.750)
Sn (0.579, 0.037, 0.750)
Sn (0.963, 0.421, 0.750)

=====

VASP calculation (PBE) on crystalline Mn2W at its relaxed geometry.

ΔH_f (0 K) in meV/atom: 208
Space group: Pnnm
Calculated total energy in eV/atom: -10.22

a b c (Å): 2.595 7.398 4.153
angles (deg): 90.00 90.00 90.00
Atoms (fractional coordinates):
Mn (0.196, 0.166, 0.000)
Mn (0.304, 0.666, 0.500)
Mn (0.696, 0.334, 0.500)
Mn (0.804, 0.834, 0.000)
W (0.000, 0.500, 0.000)
W (0.500, 0.000, 0.500)

=====

VASP calculation (PBE) on crystalline KGa2Tc2 at its relaxed geometry.

ΔH_f (0 K) in meV/atom: 237
Space group: P4/mbm
Calculated total energy in eV/atom: -5.34

a b c (Å): 8.257 8.257 2.743
angles (deg): 90.00 90.00 90.00
Atoms (fractional coordinates):
K (0.000, 0.000, 0.000)
K (0.500, 0.500, 0.000)
Ga (0.182, 0.318, 0.000)
Ga (0.318, 0.818, 0.000)
Ga (0.682, 0.182, 0.000)
Ga (0.818, 0.682, 0.000)
Tc (0.099, 0.599, 0.500)
Tc (0.401, 0.099, 0.500)
Tc (0.599, 0.901, 0.500)
Tc (0.901, 0.401, 0.500)

=====

VASP calculation (PBE) on crystalline CoP2Rh at its relaxed geometry.

ΔH_f (0 K) in meV/atom: -307
Space group: Imm2
Calculated total energy in eV/atom: -6.63

a b c (Å): 5.994 5.994 5.994
angles (deg): 153.34 147.33 42.65
Atoms (fractional coordinates):
Co (0.000, 0.000, 0.000)
P (0.569, 0.569, 0.000)
P (0.835, 0.335, 0.500)
Rh (0.230, 0.730, 0.500)

=====

VASP calculation (PBE) on crystalline Au2SeBr at its relaxed geometry.

Space group: C2/m
Calculated total energy in eV/atom: -2.49

a b c (Å): 6.226 6.226 4.957
angles (deg): 113.35 113.35 28.85
Atoms (fractional coordinates):
Au (0.222, 0.222, 0.222)
Au (0.778, 0.778, 0.778)
Se (0.500, 0.500, 0.000)
Br (0.000, 0.000, 0.500)

=====

VASP calculation (PBE) on crystalline ScTa2Os at its relaxed geometry.

ΔH_f (0 K) in meV/atom: -57
Space group: Pm
Calculated total energy in eV/atom: -10.37

a b c (Å): 2.923 4.511 5.443
angles (deg): 90.00 102.11 90.00
Atoms (fractional coordinates):
Sc (0.000, 0.000, 0.000)
Ta (0.438, 0.000, 0.520)
Ta (0.708, 0.500, 0.257)
Os (0.229, 0.500, 0.752)

=====

VASP calculation (PBE) on crystalline Y2Tm3Ir2 at its relaxed geometry.

ΔH_f (0 K) in meV/atom: -663
Space group: C2/m
Calculated total energy in eV/atom: -6.96

a b c (Å): 6.242 6.242 8.764
angles (deg): 115.01 115.01 35.82
Atoms (fractional coordinates):
Y (0.164, 0.164, 0.305)
Y (0.836, 0.836, 0.695)
Tm (0.380, 0.380, 0.068)
Tm (0.500, 0.500, 0.500)
Tm (0.620, 0.620, 0.932)
Ir (0.173, 0.173, 0.736)
Ir (0.827, 0.827, 0.264)

=====

VASP calculation (PBE) on crystalline Cd2HgBr at its relaxed geometry.

Space group: C2/m
Calculated total energy in eV/atom: -1.13

a b c (Å): 5.214 5.214 7.049
angles (deg): 117.15 117.15 45.34
Atoms (fractional coordinates):
Cd (0.236, 0.236, 0.316)
Cd (0.764, 0.764, 0.684)
Hg (0.000, 0.000, 0.500)
Br (0.500, 0.500, 0.000)

=====

VASP calculation (PBE) on crystalline BaCa2Pt at its relaxed geometry.

ΔH_f (0 K) in meV/atom: -428
Space group: Imm2
Calculated total energy in eV/atom: -3.42

a b c (Å): 8.581 8.581 8.581
angles (deg): 155.05 146.82 41.96
Atoms (fractional coordinates):
Ba (0.000, 0.000, 0.000)
Ca (0.331, 0.831, 0.500)
Ca (0.683, 0.683, 0.000)
Pt (0.828, 0.328, 0.500)

=====

VASP calculation (PBE) on crystalline VRuSeN2 at its relaxed geometry.

Space group: P4/mmm
Calculated total energy in eV/atom: -6.97

a b c (Å): 3.721 3.721 5.208
angles (deg): 90.00 90.00 90.00
Atoms (fractional coordinates):
V (0.000, 0.000, 0.000)
Ru (0.500, 0.500, 0.500)
Se (0.000, 0.000, 0.500)
N (0.000, 0.500, 0.000)
N (0.500, 0.000, 0.000)

=====

VASP calculation (PBE) on crystalline Ac2Al3Au5 at its relaxed geometry.

ΔH_f (0 K) in meV/atom: -709
Space group: Ibam
Calculated total energy in eV/atom: -4.29

a b c (Å): 9.008 9.008 9.008
angles (deg): 106.88 88.26 137.73
Atoms (fractional coordinates):
Ac (0.132, 0.238, 0.370)
Ac (0.368, 0.738, 0.106)
Ac (0.632, 0.262, 0.894)
Ac (0.868, 0.762, 0.630)
Al (0.129, 0.889, 0.018)
Al (0.250, 0.750, 0.500)
Al (0.371, 0.389, 0.759)
Al (0.629, 0.611, 0.241)
Al (0.750, 0.250, 0.500)
Al (0.871, 0.111, 0.982)
Au (0.010, 0.750, 0.260)
Au (0.102, 0.652, 0.754)
Au (0.250, 0.250, 0.000)
Au (0.398, 0.152, 0.550)
Au (0.490, 0.750, 0.740)
Au (0.510, 0.250, 0.260)
Au (0.602, 0.848, 0.450)
Au (0.750, 0.750, 0.000)
Au (0.898, 0.348, 0.246)
Au (0.990, 0.250, 0.740)

=====

VASP calculation (PBE) on crystalline TaCN2F at its relaxed geometry.

Space group: P4/mmm
Calculated total energy in eV/atom: -6.80

a b c (Å): 3.597 3.597 3.303
angles (deg): 90.00 90.00 90.00
Atoms (fractional coordinates):
Ta (0.000, 0.000, 0.000)
C (0.500, 0.500, 0.500)
N (0.000, 0.500, 0.500)
N (0.500, 0.000, 0.500)
F (0.500, 0.500, 0.000)

=====

VASP calculation (PBE) on crystalline HfSc2O at its relaxed geometry.

Space group: I-42d
Calculated total energy in eV/atom: -8.00

a b c (Å): 6.124 6.124 6.124
angles (deg): 117.56 117.56 94.28
Atoms (fractional coordinates):
Hf (0.000, 0.000, 0.000)
Hf (0.750, 0.250, 0.500)
Sc (0.274, 0.625, 0.149)
Sc (0.375, 0.524, 0.649)
Sc (0.476, 0.125, 0.851)
Sc (0.875, 0.726, 0.351)
O (0.250, 0.750, 0.500)
O (0.500, 0.500, 0.000)

=====

VASP calculation (PBE) on crystalline CuAgRuF6 at its relaxed geometry.

Space group: P4_2nm
Calculated total energy in eV/atom: -4.47

a b c (Å): 5.013 5.013 10.225
angles (deg): 90.00 90.00 90.00
Atoms (fractional coordinates):
Cu (0.000, 0.000, 0.000)
Cu (0.500, 0.500, 0.500)
Ag (0.000, 0.000, 0.325)
Ag (0.500, 0.500, 0.825)
Ru (0.000, 0.000, 0.658)
Ru (0.500, 0.500, 0.158)
F (0.175, 0.175, 0.811)
F (0.203, 0.203, 0.517)
F (0.223, 0.223, 0.148)
F (0.277, 0.723, 0.648)
F (0.297, 0.703, 0.017)
F (0.325, 0.675, 0.311)
F (0.675, 0.325, 0.311)
F (0.703, 0.297, 0.017)
F (0.723, 0.277, 0.648)
F (0.777, 0.777, 0.148)
F (0.797, 0.797, 0.517)
F (0.825, 0.825, 0.811)

=====

VASP calculation (PBE) on crystalline MnCrSe3 at its relaxed geometry.

Space group: Pm-3m
Calculated total energy in eV/atom: -5.55

a b c (Å): 4.837 4.837 4.837
angles (deg): 90.00 90.00 90.00
Atoms (fractional coordinates):
Mn (0.000, 0.000, 0.000)
Cr (0.500, 0.500, 0.500)
Se (0.000, 0.500, 0.500)
Se (0.500, 0.000, 0.500)
Se (0.500, 0.500, 0.000)

=====

VASP calculation (PBE) on crystalline V2FeCoIr2 at its relaxed geometry.

ΔH_f (0 K) in meV/atom: -37
Space group: Ibam
Calculated total energy in eV/atom: -8.62

a b c (Å): 7.361 7.361 7.361
angles (deg): 139.45 57.35 141.23
Atoms (fractional coordinates):
V (0.133, 0.193, 0.326)
V (0.367, 0.693, 0.060)
V (0.633, 0.307, 0.940)
V (0.867, 0.807, 0.674)
Fe (0.250, 0.750, 0.500)
Fe (0.750, 0.250, 0.500)
Co (0.250, 0.250, 0.000)
Co (0.750, 0.750, 0.000)
Ir (0.175, 0.687, 0.862)
Ir (0.325, 0.187, 0.512)
Ir (0.675, 0.813, 0.488)
Ir (0.825, 0.313, 0.138)

=====

VASP calculation (PBE) on crystalline AcPrBiO6 at its relaxed geometry.

Space group: P312
Calculated total energy in eV/atom: -6.78

a b c (Å): 6.006 6.006 5.178
angles (deg): 90.00 90.00 120.00
Atoms (fractional coordinates):
Ac (0.000, 0.000, 0.000)
Pr (0.333, 0.667, 0.500)
Bi (0.667, 0.333, 0.500)
O (0.365, 0.032, 0.725)
O (0.365, 0.333, 0.275)
O (0.667, 0.032, 0.275)
O (0.667, 0.635, 0.725)
O (0.968, 0.333, 0.725)
O (0.968, 0.635, 0.275)

=====

VASP calculation (PBE) on crystalline Sm2ZnGa6 at its relaxed geometry.

ΔH_f (0 K) in meV/atom: -274
Space group: C2/m
Calculated total energy in eV/atom: -3.48

a b c (Å): 8.582 8.582 3.355
angles (deg): 97.32 97.32 51.53
Atoms (fractional coordinates):
Sm (0.202, 0.202, 0.017)
Sm (0.798, 0.798, 0.983)
Zn (0.500, 0.500, 0.500)
Ga (0.178, 0.822, 0.000)
Ga (0.183, 0.539, 0.552)
Ga (0.461, 0.817, 0.448)
Ga (0.539, 0.183, 0.552)
Ga (0.817, 0.461, 0.448)
Ga (0.822, 0.178, 0.000)

=====

VASP calculation (PBE) on crystalline CsLaO2 at its relaxed geometry.

Space group: Cmcm
Calculated total energy in eV/atom: -6.17

a b c (Å): 11.047 11.047 4.551
angles (deg): 90.00 90.00 155.92
Atoms (fractional coordinates):
Cs (0.194, 0.806, 0.750)
Cs (0.806, 0.194, 0.250)
La (0.429, 0.571, 0.750)
La (0.571, 0.429, 0.250)
O (0.331, 0.669, 0.750)
O (0.454, 0.546, 0.250)
O (0.546, 0.454, 0.750)
O (0.669, 0.331, 0.250)